1.
Material: LiCdTc
Method: DFT, PBE
State: relaxed

Cell lengths 7.051, 7.051, 7.051 Å; angles 158.04, 158.04, 31.25 degrees
Sites, in units of the cell vectors:
Cd1 0.000 0.000 0.000
Li1 0.328 0.328 0.000
Tc1 0.672 0.672 0.000

Properties
crystal system	tetragonal
excess energy over the best structure of this formula in the dataset	18.0	meV per atom
DOS at the Fermi energy	1.67	states/eV per cell
DFT formation energy	0.286	eV per atom

***

2.
Material: LiCd2Tc
Method: DFT, PBE
State: relaxed

Cell lengths 2.797, 2.797, 9.286 Å; angles 90.00, 90.00, 105.72 degrees
Sites, in units of the cell vectors:
Cd1 0.000 0.000 0.003
Cd2 0.000 0.000 0.497
Li1 0.500 0.500 0.250
Tc1 0.500 0.500 0.750

Properties
crystal system	orthorhombic
excess energy over the best structure of this formula in the dataset	60.1	meV per atom
DOS at the Fermi energy	1.66	states/eV per cell
DFT formation energy	0.190	eV per atom

***

3.
Material: Li2CdTc
Method: DFT, PBE
State: relaxed

Cell lengths 4.697, 2.630, 5.220 Å; angles 86.81, 90.00, 90.00 degrees
Sites, in units of the cell vectors:
Cd1 0.500 0.750 0.750
Li1 0.000 0.954 0.032
Li2 0.000 0.546 0.468
Tc1 0.500 0.250 0.250

Properties
crystal system	monoclinic
DOS at the Fermi energy	2.92	states/eV per cell
DFT formation energy	0.214	eV per atom

***

4.
Material: Li2CdTc
Method: DFT, PBE
State: relaxed

Cell lengths 2.613, 4.488, 5.598 Å; angles 90.00, 90.00, 90.00 degrees
Sites, in units of the cell vectors:
Cd1 0.500 0.500 0.737
Li1 0.000 0.000 0.004
Li2 0.500 0.500 0.260
Tc1 0.000 0.000 0.499

Properties
crystal system	orthorhombic
DOS at the Fermi energy	3.12	states/eV per cell
DFT formation energy	0.270	eV per atom

***

5.
Material: LiCd2Tc
Method: DFT, PBE
State: relaxed

Cell lengths 5.695, 5.695, 5.695 Å; angles 150.79, 129.04, 59.82 degrees
Sites, in units of the cell vectors:
Cd1 0.997 0.997 0.000
Cd2 0.258 0.758 0.500
Li1 0.501 0.501 0.000
Tc1 0.745 0.245 0.500

Properties
crystal system	orthorhombic
excess energy over the best structure of this formula in the dataset	129.6	meV per atom
DOS at the Fermi energy	1.84	states/eV per cell
DFT formation energy	0.259	eV per atom

***

6.
Material: LiCd2Tc
Method: DFT, PBE
State: relaxed

Cell lengths 4.951, 4.951, 5.519 Å; angles 84.70, 84.70, 31.74 degrees
Sites, in units of the cell vectors:
Cd1 0.997 0.997 0.003
Cd2 0.503 0.503 0.497
Li1 0.750 0.750 0.750
Tc1 0.250 0.250 0.250

Properties
crystal system	monoclinic
excess energy over the best structure of this formula in the dataset	154.1	meV per atom
DOS at the Fermi energy	2.82	states/eV per cell
DFT formation energy	0.284	eV per atom

***

7.
Material: Li2CdTc
Method: DFT, PBE
State: relaxed

Cell lengths 9.917, 9.917, 9.917 Å; angles 16.10, 16.10, 16.10 degrees
Sites, in units of the cell vectors:
Cd1 0.750 0.750 0.750
Li1 0.994 0.994 0.994
Li2 0.506 0.506 0.506
Tc1 0.250 0.250 0.250

Properties
crystal system	trigonal
DOS at the Fermi energy	3.08	states/eV per cell
DFT formation energy	0.165	eV per atom

***

8.
Material: LiCd2Tc
Method: DFT, PBE
State: relaxed

Cell lengths 4.188, 2.799, 6.624 Å; angles 64.61, 90.00, 90.00 degrees
Sites, in units of the cell vectors:
Cd1 0.000 0.002 0.997
Cd2 0.000 0.498 0.503
Li1 0.500 0.250 0.250
Tc1 0.500 0.750 0.750

Properties
crystal system	monoclinic
excess energy over the best structure of this formula in the dataset	97.3	meV per atom
DOS at the Fermi energy	3.23	states/eV per cell
DFT formation energy	0.227	eV per atom